Record 1
VASP calculation (GGA+U) on a relaxed structure of InMoO3.

Unit cell a=4.0194 b=4.0194 c=4.0194 alpha=90.00 beta=90.00 gamma=90.00
Closest atoms and distances in Å follow each position.
Element x y z (fractional)
In (0.0000, 0.0000, 0.0000)  12 O 2.84
Mo (0.5000, 0.5000, 0.5000)  6 O 2.01
O (0.0000, 0.5000, 0.5000)  2 Mo 2.01
O (0.5000, 0.0000, 0.5000)  2 Mo 2.01
O (0.5000, 0.5000, 0.0000)  2 Mo 2.01

Results
* crystal system: cubic
* volume: 64.9 Å³/cell
* mass density: 6.617 g/cm³
* symmetry: Pm-3m
* VASP energy: -30.9 eV/cell

Record 2
VASP calculation (GGA+U) on a relaxed structure of In3MoO.

Unit cell a=5.4604 b=5.4604 c=5.4604 alpha=90.00 beta=90.00 gamma=90.00
Closest atoms and distances in Å follow each position.
Element x y z (fractional)
In (0.0000, 0.0000, 0.5000)  2 Mo 2.73
In (0.0000, 0.5000, 0.0000)  2 Mo 2.73
In (0.5000, 0.0000, 0.0000)  2 Mo 2.73
Mo (0.0000, 0.0000, 0.0000)  6 In 2.73
O (0.5000, 0.5000, 0.5000)  12 In 3.86

Results
* crystal system: cubic
* volume: 162.8 Å³/cell
* mass density: 4.655 g/cm³
* symmetry: Pm-3m
* VASP energy: -15.5 eV/cell

Record 3
VASP calculation (GGA+U) on a relaxed structure of InMoO2.

Unit cell a=6.4591 b=6.4591 c=6.4591 alpha=129.74 beta=129.74 gamma=73.83
Closest atoms and distances in Å follow each position.
Element x y z (fractional)
In (0.0000, 0.0000, 0.0000)  4 O 2.77
In (0.7500, 0.2500, 0.5000)  4 O 2.77
Mo (0.2500, 0.7500, 0.5000)  4 O 2.02
Mo (0.5000, 0.5000, 0.0000)  4 O 2.02
O (0.2444, 0.6250, 0.1194)  2 Mo 2.02
O (0.3750, 0.4944, 0.6194)  2 Mo 2.02
O (0.5056, 0.1250, 0.8806)  2 Mo 2.02
O (0.8750, 0.7556, 0.3806)  2 Mo 2.02

Results
* crystal system: tetragonal
* volume: 155.4 Å³/cell
* mass density: 5.186 g/cm³
* symmetry: I-42d
* VASP energy: -45.7 eV/cell

Record 4
VASP calculation (GGA+U) on a relaxed structure of InMoOs2O.

Unit cell a=4.2554 b=4.2554 c=4.1817 alpha=90.00 beta=90.00 gamma=90.00
Closest atoms and distances in Å follow each position.
Element x y z (fractional)
In (0.0000, 0.0000, 0.0000)  8 Os 2.98, 4 Mo 3.01
Mo (0.5000, 0.5000, 0.0000)  2 O 2.09
Os (0.0000, 0.5000, 0.5000)  2 O 2.13
Os (0.5000, 0.0000, 0.5000)  2 O 2.13
O (0.5000, 0.5000, 0.5000)  2 Mo 2.09, 4 Os 2.13

Results
* crystal system: tetragonal
* volume: 75.7 Å³/cell
* mass density: 13.315 g/cm³
* symmetry: P4/mmm
* VASP energy: -33.7 eV/cell

Record 5
VASP calculation (GGA+U) on a relaxed structure of PaIn2MoO8.

Unit cell a=6.1442 b=6.1442 c=6.1442 alpha=112.59 beta=112.59 gamma=103.39
Closest atoms and distances in Å follow each position.
Element x y z (fractional)
Pa (0.0000, 0.0000, 0.0000)  4 O 2.06
In (0.2500, 0.7500, 0.5000)  4 O 2.03
In (0.5000, 0.5000, 0.0000)  4 O 2.09
Mo (0.7500, 0.2500, 0.5000)  4 O 1.93
O (0.0565, 0.3527, 0.2962)  1 In 2.03, 1 Pa 2.06
O (0.0565, 0.7603, 0.7038)  1 In 2.03, 1 Pa 2.06
O (0.0882, 0.3135, 0.7747)  1 Mo 1.93, 1 In 2.09
O (0.2397, 0.9435, 0.2962)  1 In 2.03, 1 Pa 2.06
O (0.5389, 0.3135, 0.2253)  1 Mo 1.93, 1 In 2.09
O (0.6473, 0.9435, 0.7038)  1 In 2.03, 1 Pa 2.06
O (0.6865, 0.4611, 0.7747)  1 Mo 1.93, 1 In 2.09
O (0.6865, 0.9118, 0.2253)  1 Mo 1.93, 1 In 2.09

Results
* crystal system: tetragonal
* volume: 177.1 Å³/cell
* mass density: 6.420 g/cm³
* symmetry: I-4m2
* VASP energy: -84.2 eV/cell

Record 6
VASP calculation (GGA+U) on a relaxed structure of PmIn2MoO8.

Unit cell a=4.9472 b=4.9472 c=6.7873 alpha=90.00 beta=90.00 gamma=90.40
Closest atoms and distances in Å follow each position.
Element x y z (fractional)
Pm (0.0000, 0.0000, 0.0000)  6 O 2.24-2.38
In (0.5000, 0.5000, 0.2613)  6 O 2.17-2.20
In (0.5000, 0.5000, 0.7387)  6 O 2.17-2.20
Mo (0.0000, 0.0000, 0.5000)  6 O 1.93-1.99
O (0.1874, 0.8126, 0.2919)  1 Mo 1.93
O (0.1874, 0.8126, 0.7081)  1 Mo 1.93
O (0.2858, 0.2858, 0.5000)  1 Mo 1.99, 2 In 2.20
O (0.3214, 0.3214, 0.0000)  2 In 2.17, 1 Pm 2.24
O (0.6786, 0.6786, 0.0000)  2 In 2.17, 1 Pm 2.24
O (0.7142, 0.7142, 0.5000)  1 Mo 1.99, 2 In 2.20
O (0.8126, 0.1874, 0.2919)  1 Mo 1.93
O (0.8126, 0.1874, 0.7081)  1 Mo 1.93

Results
* crystal system: orthorhombic
* volume: 166.1 Å³/cell
* mass density: 5.984 g/cm³
* symmetry: Cmmm
* VASP energy: -78.4 eV/cell

Record 7
VASP calculation (GGA+U) on a relaxed structure of PrInMo2O8.

Unit cell a=7.1932 b=7.1932 c=7.1932 alpha=134.84 beta=134.84 gamma=65.77
Closest atoms and distances in Å follow each position.
Element x y z (fractional)
Pr (0.0000, 0.0000, 0.0000)  8 O 2.53-2.57
In (0.7500, 0.2500, 0.5000)  8 O 2.71-2.75
Mo (0.2500, 0.7500, 0.5000)  4 O 1.81
Mo (0.5000, 0.5000, 0.0000)  4 O 1.81
O (0.0440, 0.9042, 0.6205)  1 Mo 1.81
O (0.0958, 0.7163, 0.1398)  1 Mo 1.81
O (0.1912, 0.2647, 0.6087)  1 Mo 1.81
O (0.2837, 0.4235, 0.3795)  1 Mo 1.81
O (0.4175, 0.8088, 0.0735)  1 Mo 1.81
O (0.5765, 0.9560, 0.8602)  1 Mo 1.81
O (0.6560, 0.5825, 0.3913)  1 Mo 1.81
O (0.7353, 0.3440, 0.9265)  1 Mo 1.81

Results
* crystal system: tetragonal
* volume: 184.3 Å³/cell
* mass density: 5.186 g/cm³
* symmetry: I-4
* VASP energy: -84.4 eV/cell

Record 8
VASP calculation (GGA+U) on a relaxed structure of PuInMoO6.

Unit cell a=5.4409 b=5.4409 c=9.1973 alpha=90.00 beta=90.00 gamma=120.00
Closest atoms and distances in Å follow each position.
Element x y z (fractional)
Pu (0.3333, 0.6667, 0.2500)  6 O 2.16
Pu (0.6667, 0.3333, 0.7500)  6 O 2.16
In (0.3333, 0.6667, 0.7500)  6 O 2.20
In (0.6667, 0.3333, 0.2500)  6 O 2.20
Mo (0.0000, 0.0000, 0.0000)  6 O 2.08
Mo (0.0000, 0.0000, 0.5000)  6 O 2.08
O (0.0061, 0.3214, 0.1251)  1 Mo 2.08, 1 Pu 2.16, 1 In 2.20
O (0.0061, 0.6847, 0.3749)  1 Mo 2.08, 1 Pu 2.16, 1 In 2.20
O (0.3153, 0.3214, 0.3749)  1 Mo 2.08, 1 Pu 2.16, 1 In 2.20
O (0.3153, 0.9939, 0.1251)  1 Mo 2.08, 1 Pu 2.16, 1 In 2.20
O (0.3214, 0.0061, 0.6251)  1 Mo 2.08, 1 Pu 2.16, 1 In 2.20
O (0.3214, 0.3153, 0.8749)  1 Mo 2.08, 1 Pu 2.16, 1 In 2.20
O (0.6786, 0.6847, 0.1251)  1 Mo 2.08, 1 Pu 2.16, 1 In 2.20
O (0.6786, 0.9939, 0.3749)  1 Mo 2.08, 1 Pu 2.16, 1 In 2.20
O (0.6847, 0.0061, 0.8749)  1 Mo 2.08, 1 Pu 2.16, 1 In 2.20
O (0.6847, 0.6786, 0.6251)  1 Mo 2.08, 1 Pu 2.16, 1 In 2.20
O (0.9939, 0.3153, 0.6251)  1 Mo 2.08, 1 Pu 2.16, 1 In 2.20
O (0.9939, 0.6786, 0.8749)  1 Mo 2.08, 1 Pu 2.16, 1 In 2.20

Results
* crystal system: trigonal
* volume: 235.8 Å³/cell
* mass density: 7.757 g/cm³
* symmetry: P-31c
* VASP energy: -143.0 eV/cell

Record 9
VASP calculation (GGA+U) on a relaxed structure of RbInMo2O8.

Unit cell a=5.9449 b=5.9449 c=7.8752 alpha=90.00 beta=90.00 gamma=120.00
Closest atoms and distances in Å follow each position.
Element x y z (fractional)
Rb (0.0000, 0.0000, 0.0000)  12 O 3.13-3.45
In (0.0000, 0.0000, 0.5000)  6 O 2.16
Mo (0.3333, 0.6667, 0.7372)  4 O 1.75-1.81
Mo (0.6667, 0.3333, 0.2628)  4 O 1.75-1.81
O (0.1660, 0.3319, 0.6671)  1 Mo 1.81
O (0.1660, 0.8340, 0.6671)  1 Mo 1.81
O (0.3319, 0.1660, 0.3329)  1 Mo 1.81
O (0.3333, 0.6667, 0.9592)  1 Mo 1.75
O (0.6667, 0.3333, 0.0408)  1 Mo 1.75
O (0.6681, 0.8340, 0.6671)  1 Mo 1.81
O (0.8340, 0.1660, 0.3329)  1 Mo 1.81
O (0.8340, 0.6681, 0.3329)  1 Mo 1.81

Results
* crystal system: trigonal
* volume: 241.0 Å³/cell
* mass density: 3.584 g/cm³
* symmetry: P-3m1
* VASP energy: -78.0 eV/cell

Record 10
VASP calculation (GGA+U) on a relaxed structure of Rb2InMoO6.

Unit cell a=10.5069 b=10.5069 c=10.5069 alpha=33.93 beta=33.93 gamma=33.93
Closest atoms and distances in Å follow each position.
Element x y z (fractional)
Rb (0.1300, 0.1300, 0.1300)  12 O 3.05-3.18
Rb (0.2779, 0.2779, 0.2779)  9 O 2.91-3.12
Rb (0.7221, 0.7221, 0.7221)  9 O 2.91-3.12
Rb (0.8700, 0.8700, 0.8700)  12 O 3.05-3.18
In (0.4012, 0.4012, 0.4012)  6 O 2.14-2.31
In (0.5988, 0.5988, 0.5988)  6 O 2.14-2.31
Mo (0.0000, 0.0000, 0.0000)  6 O 1.95
Mo (0.5000, 0.5000, 0.5000)  6 O 1.95
O (0.1713, 0.6036, 0.6036)  1 Mo 1.95
O (0.1884, 0.1884, 0.7357)  1 Mo 1.95, 1 In 2.14
O (0.1884, 0.7357, 0.1884)  1 Mo 1.95, 1 In 2.14
O (0.2643, 0.8116, 0.8116)  1 Mo 1.95, 1 In 2.14
O (0.3964, 0.3964, 0.8287)  1 Mo 1.95
O (0.3964, 0.8287, 0.3964)  1 Mo 1.95
O (0.6036, 0.1713, 0.6036)  1 Mo 1.95
O (0.6036, 0.6036, 0.1713)  1 Mo 1.95
O (0.7357, 0.1884, 0.1884)  1 Mo 1.95, 1 In 2.14
O (0.8116, 0.2643, 0.8116)  1 Mo 1.95, 1 In 2.14
O (0.8116, 0.8116, 0.2643)  1 Mo 1.95, 1 In 2.14
O (0.8287, 0.3964, 0.3964)  1 Mo 1.95

Results
* crystal system: trigonal
* volume: 322.1 Å³/cell
* mass density: 4.926 g/cm³
* symmetry: R-3m
* VASP energy: -111.9 eV/cell